Record 1
Material: RbHfGaTe3
Method: DFT, PBE
State: relaxed

## Properties
- Space-group type: No. 63
- Magnetization: 0.0 μB/f.u.

The structure in POSCAR format:
```
RbHfGaTe3
1.0
2.131 0.131 8.289
-5.723 0.346 -6.356
-1.333 -12.201 0.535
Ga Hf Rb Te
2 2 2 6
Direct
0.607 0.393 0.250
0.393 0.607 0.750
0.000 0.000 0.000
0.000 0.000 0.500
0.282 0.718 0.250
0.718 0.282 0.750
0.622 0.378 0.006
0.991 0.009 0.250
0.622 0.378 0.494
0.378 0.622 0.506
0.009 0.991 0.750
0.378 0.622 0.994
```



Record 2
Material: AlInTcH6
Method: DFT, PBE
State: relaxed

## Properties
- Space-group type: No. 216
- Magnetization: 0.0 μB/f.u.

The structure in POSCAR format:
```
AlInTcH6
1.0
4.548 -1.057 -0.520
2.414 -1.822 3.595
1.368 -4.493 -0.126
Al H In Tc
1 6 1 1
Direct
0.000 0.000 0.000
0.985 0.515 0.515
0.515 0.985 0.515
0.985 0.985 0.515
0.515 0.515 0.985
0.985 0.515 0.985
0.515 0.985 0.985
0.500 0.500 0.500
0.250 0.250 0.250
```



Record 3
Material: LaPrHg
Method: DFT, PBE
State: relaxed

## Properties
- Formation energy: -120 meV per atom
- Space-group type: No. 216
- Energy relative to the lowest polymorph listed for this composition: 0.000 eV per atom
- Magnetization: 0.4 μB/f.u.

The structure in POSCAR format:
```
LaPrHg
1.0
-4.100 -3.369 -0.237
-4.081 0.543 3.356
-4.711 1.672 -1.796
Hg La Pr
1 1 1
Direct
0.000 0.000 0.000
0.250 0.250 0.250
0.750 0.750 0.750
```



Record 4
Material: Rb2Nd2SO3
Method: DFT, PBE
State: relaxed

## Properties
- Space-group type: No. 156
- Magnetization: 0.0 μB/f.u.

The structure in POSCAR format:
```
Rb2Nd2SO3
1.0
-0.960 -3.580 0.573
2.045 0.936 -3.002
11.521 -1.930 7.246
Nd O Rb S
2 3 2 1
Direct
0.000 0.000 0.025
0.000 0.000 0.495
0.333 0.667 0.104
0.333 0.667 0.407
0.667 0.333 0.576
0.667 0.333 0.263
0.333 0.667 0.732
0.667 0.333 0.897
```



Record 5
Material: CsRb2ZnF6
Method: DFT, PBE
State: relaxed

## Properties
- Space-group type: No. 225
- Energy relative to the lowest polymorph listed for this composition: 0.012 eV per atom

The structure in POSCAR format:
```
CsRb2ZnF6
1.0
0.000 4.452 4.452
4.452 0.000 4.452
4.452 4.452 0.000
Cs F Rb Zn
1 6 2 1
Direct
0.000 0.000 0.000
0.283 0.717 0.283
0.717 0.283 0.283
0.717 0.717 0.283
0.283 0.283 0.717
0.717 0.283 0.717
0.283 0.717 0.717
0.250 0.250 0.250
0.750 0.750 0.750
0.500 0.500 0.500
```



Record 6
Material: FeReP
Method: DFT, PBE
State: relaxed

## Properties
- Space-group type: No. 62
- Magnetization: 0.6 μB/f.u.

The structure in POSCAR format:
```
FeReP
1.0
5.358 0.000 0.000
0.000 2.901 0.000
0.000 0.000 9.518
Fe P Re
4 4 4
Direct
0.191 0.750 0.063
0.691 0.750 0.437
0.309 0.250 0.563
0.809 0.250 0.937
0.603 0.750 0.098
0.103 0.750 0.402
0.897 0.250 0.598
0.397 0.250 0.902
0.877 0.250 0.215
0.377 0.250 0.285
0.623 0.750 0.715
0.123 0.750 0.785
```



| no. | final energy (eV/atom) |
| --- | --- |
| 1 | -4.55 |
| 2 | -4.02 |
| 3 | -3.45 |
| 4 | -6.12 |
| 5 | -3.81 |
| 6 | -8.88 |